Entry 1:
Material: Zr2TeRh
Method: DFT, PBE
State: relaxed

V: 21.19 Å³ per atom
energy above the most stable polymorph in this dataset: 31 kJ/mol of formula units
theoretical density: 8.1 g cm⁻³
density of states at the Fermi level: 2.9 states/eV/cell
size of the total moment: 0.00 μB per formula unit
space group: No. 99
VASP energy: -7.46 eV/atom
raw formation energy: -0.56 eV/atom

abc: 3.6699 3.6699 6.2918
angles: 90.00 90.00 90.00
Last column: nearest neighbours and their distance in Å.
Fractional positions:
1 Zr 0.5000 0.5000 0.2861  4 Rh 2.81, 1 Te 3.07
2 Zr 0.0000 0.0000 0.9836  4 Te 2.91, 1 Rh 2.97, 4 Zr 3.22
3 Te 0.5000 0.5000 0.7741  6 Zr 2.91-3.22
4 Rh 0.0000 0.0000 0.4563  5 Zr 2.81-2.97

=====

Entry 2:
Material: ScInSbMo2
Method: DFT, PBE
State: relaxed

V: 27.09 Å³ per atom
theoretical density: 5.8 g cm⁻³
density of states at the Fermi level: 5.4 states/eV/cell
size of the total moment: 3.52 μB per formula unit
space group: No. 123
VASP energy: -5.26 eV/atom
raw formation energy: 1.71 eV/atom

abc: 5.0454 5.3214 5.0454
angles: 90.00 90.00 90.00
Last column: nearest neighbours and their distance in Å.
Fractional positions:
1 Mo 0.0000 0.0000 0.5000  2 In 2.52
2 Mo 0.5000 0.0000 0.0000  2 In 2.52
3 Sc 0.5000 0.5000 0.5000  4 Sb 3.57, 8 Mo 3.67
4 In 0.0000 0.0000 0.0000  4 Mo 2.52, 2 Sb 2.66
5 Sb 0.0000 0.5000 0.0000  2 In 2.66